Version A
# Ta2NiBr

A relaxed Ta2NiBr crystal (PBE, the Alexandria database).

The structure belongs to space group Imm2 (No. 44); the cell edges are 3.052, 4.755 and 9.131 Å and the angles 90.00°, 90.00° and 90.00°. Symmetry generates all atoms from Ta at (0.000, 0.000, 0.000), Ta at (0.000, 0.500, 0.219), Ni at (0.000, 0.000, 0.483) and Br at (0.000, 0.500, 0.740).

For the total magnetization, the calculation gives 0.0 μB per formula unit. The crystal system is orthorhombic. The calculated volume is 16.56 A^3/atom.

=====

Version B
# Ta2NiBr

A relaxed Ta2NiBr crystal (PBE, the Alexandria database).

The structure belongs to space group P4mm (No. 99); the cell edges are 3.015, 3.015 and 8.382 Å and the angles 90.00°, 90.00° and 90.00°. Symmetry generates all atoms from Ta at (0.000, 0.000, 0.000), Ta at (0.500, 0.500, 0.257), Ni at (0.500, 0.500, 0.822) and Br at (0.000, 0.000, 0.472).

For the total magnetization, the calculation gives 0.0 μB per formula unit. The crystal system is tetragonal. The calculated volume is 19.05 A^3/atom.

=====

Version C
# Ta2NiBr

A relaxed Ta2NiBr crystal (PBE, the Alexandria database).

The structure belongs to space group R-3m (No. 166, hexagonal axes); the cell edges are 3.0217, 3.0217 and 25.8489 Å and the angles 90.00°, 90.00° and 120.00°. Symmetry generates all atoms from Ta at (0.0000, 0.0000, 0.2449), Ni at (0.0000, 0.0000, 0.5000) and Br at (0.0000, 0.0000, 0.0000).

For the total magnetization, the calculation gives 0.0 μB per formula unit. The crystal system is trigonal. The calculated volume is 17.03 A^3/atom.

=====

Most favorable structure: version B. The second most favorable one is 172 meV/atom above it.

=====

Version A
# Ta2NiBr

A relaxed Ta2NiBr crystal (PBE, the Alexandria database).

The structure belongs to space group I-4m2 (No. 119); the cell edges are 3.855, 3.855 and 9.033 Å and the angles 90.00°, 90.00° and 90.00°. Symmetry generates all atoms from Ta at (0.000, 0.000, 0.000), Ta at (0.000, 0.500, 0.250), Ni at (0.000, 0.000, 0.500) and Br at (0.000, 0.500, 0.750).

For the total magnetization, the calculation gives 0.0 μB per formula unit. The crystal system is tetragonal. The calculated volume is 16.78 A^3/atom.

=====

Version B
# Ta2NiBr

A relaxed Ta2NiBr crystal (PBE, the Alexandria database).

The structure belongs to space group Immm (No. 71); the cell edges are 3.220, 4.669 and 8.943 Å and the angles 90.00°, 90.00° and 90.00°. Symmetry generates all atoms from Ta at (0.000, 0.000, 0.248), Ni at (0.000, 0.500, 0.500) and Br at (0.000, 0.500, 0.000).

For the total magnetization, the calculation gives 0.0 μB per formula unit. The crystal system is orthorhombic. The calculated volume is 16.81 A^3/atom.

=====

Most favorable structure: version B. The second most favorable one is 192 meV/atom above it.

=====

Version A
# TaNiBr2

A relaxed TaNiBr2 crystal (PBE, the Alexandria database).

The structure belongs to space group Fm-3m (No. 225); the cell edges are 6.474, 6.474 and 6.474 Å and the angles 90.00°, 90.00° and 90.00°. Symmetry generates all atoms from Ta at (0.000, 0.000, 0.000), Ni at (0.000, 0.000, 0.500) and Br at (0.250, 0.250, 0.250).

For the total magnetization, the calculation gives 0.0 μB per formula unit. The crystal system is cubic. The calculated volume is 16.96 A^3/atom.

=====

Version B
# TaNiBr2

A relaxed TaNiBr2 crystal (PBE, the Alexandria database).

The structure belongs to space group R-3m (No. 166, hexagonal axes); the cell edges are 3.2009, 3.2009 and 24.2203 Å and the angles 90.00°, 90.00° and 120.00°. Symmetry generates all atoms from Ta at (0.0000, 0.0000, 0.0000), Ni at (0.0000, 0.0000, 0.5000) and Br at (0.0000, 0.0000, 0.2500).

For the total magnetization, the calculation gives 0.0 μB per formula unit. The crystal system is trigonal. The calculated volume is 17.91 A^3/atom.

=====

Most favorable structure: version B. The second most favorable one is 298 meV/atom above it.

=====

Version A
# Tb2NiBr

A relaxed Tb2NiBr crystal (PBE, the Alexandria database).

The structure belongs to space group R3m (No. 160, hexagonal axes); the cell edges are 3.9525, 3.9525 and 22.8617 Å and the angles 90.00°, 90.00° and 120.00°. Symmetry generates all atoms from Tb at (0.0000, 0.0000, 0.0000), Tb at (0.0000, 0.0000, 0.2080), Ni at (0.0000, 0.0000, 0.6040) and Br at (0.0000, 0.0000, 0.7728).

For the total magnetization, the calculation gives 0.0 μB per formula unit. The crystal system is trigonal. The calculated volume is 25.77 A^3/atom.

=====

Version B
# Tb2NiBr

A relaxed Tb2NiBr crystal (PBE, the Alexandria database).

The structure belongs to space group R-3m (No. 166, hexagonal axes); the cell edges are 3.9595, 3.9595 and 22.6466 Å and the angles 90.00°, 90.00° and 120.00°. Symmetry generates all atoms from Tb at (0.0000, 0.0000, 0.2301), Ni at (0.0000, 0.0000, 0.5000) and Br at (0.0000, 0.0000, 0.0000).

For the total magnetization, the calculation gives 0.0 μB per formula unit. The crystal system is trigonal. The calculated volume is 25.62 A^3/atom.

=====

Most favorable structure: version B. The second most favorable one is 16 meV/atom above it.

=====

Version A
# NiTeBr6

A relaxed NiTeBr6 crystal (PBE, the Alexandria database).

The structure belongs to space group R-3 (No. 148, hexagonal axes); the cell edges are 6.7117, 6.7117 and 18.0105 Å and the angles 90.00°, 90.00° and 120.00°. Symmetry generates all atoms from Ni at (0.0000, 0.0000, 0.0000), Te at (0.0000, 0.0000, 0.5000) and Br at (0.0029, 0.6873, 0.0795).

For the total magnetization, the calculation gives 2.0 μB per formula unit. The crystal system is trigonal. The calculated volume is 29.28 A^3/atom.

=====

Version B
# NiTeBr6

A relaxed NiTeBr6 crystal (PBE, the Alexandria database).

The structure belongs to space group C2/m (No. 12); the cell edges are 6.655, 12.740 and 6.659 Å and the angles 90.00°, 109.31° and 90.00°. Symmetry generates all atoms from Ni at (0.000, 0.000, 0.000), Te at (0.000, 0.500, 0.500), Br at (0.223, 0.140, 0.224) and Br at (0.248, 0.500, 0.251).

For the total magnetization, the calculation gives 1.4 μB per formula unit. The crystal system is monoclinic. The calculated volume is 33.30 A^3/atom.

=====

Most favorable structure: version B. The second most favorable one is 14 meV/atom above it.

=====

Version A
# NiTeBr3

A relaxed NiTeBr3 crystal (PBE, the Alexandria database).

The structure belongs to space group Pm-3m (No. 221); the cell edges are 4.931, 4.931 and 4.931 Å and the angles 90.00°, 90.00° and 90.00°. Symmetry generates all atoms from Ni at (0.000, 0.000, 0.000), Te at (0.500, 0.500, 0.500) and Br at (0.000, 0.000, 0.500).

For the total magnetization, the calculation gives 0.0 μB per formula unit. The crystal system is cubic. The calculated volume is 23.98 A^3/atom.

=====

Version B
# NiTeBr3

A relaxed NiTeBr3 crystal (PBE, the Alexandria database).

The structure belongs to space group Pm-3m (No. 221); the cell edges are 5.667, 5.667 and 5.667 Å and the angles 90.00°, 90.00° and 90.00°. Symmetry generates all atoms from Ni at (0.000, 0.000, 0.000), Te at (0.500, 0.500, 0.500) and Br at (0.000, 0.500, 0.500).

For the total magnetization, the calculation gives 1.0 μB per formula unit. The crystal system is cubic. The calculated volume is 36.41 A^3/atom.

=====

Most favorable structure: version A. The second most favorable one is 475 meV/atom above it.

=====

Version A
# NiTe3Br

A relaxed NiTe3Br crystal (PBE, the Alexandria database).

The structure belongs to space group Pm-3m (No. 221); the cell edges are 5.074, 5.074 and 5.074 Å and the angles 90.00°, 90.00° and 90.00°. Symmetry generates all atoms from Ni at (0.000, 0.000, 0.000), Te at (0.000, 0.000, 0.500) and Br at (0.500, 0.500, 0.500).

For the total magnetization, the calculation gives 0.0 μB per formula unit. The crystal system is cubic. The calculated volume is 26.13 A^3/atom.

=====

Version B
# NiTe3Br

A relaxed NiTe3Br crystal (PBE, the Alexandria database).

The structure belongs to space group C2/c (No. 15); the cell edges are 9.978, 16.506 and 6.780 Å and the angles 90.00°, 90.19° and 90.00°. Symmetry generates all atoms from Ni at (0.000, 0.055, 0.250), Ni at (0.000, 0.180, 0.750), Te at (0.117, 0.178, 0.105), Te at (0.127, 0.061, 0.595), Te at (0.147, 0.293, 0.597) and Br at (0.147, 0.413, 0.055).

For the total magnetization, the calculation gives 0.0 μB per formula unit. The crystal system is monoclinic. The calculated volume is 27.92 A^3/atom.

=====

Most favorable structure: version B. The second most favorable one is 458 meV/atom above it.

=====

Version A
# TiNiBr2

A relaxed TiNiBr2 crystal (PBE, the Alexandria database).

The structure belongs to space group Fm-3m (No. 225); the cell edges are 6.565, 6.565 and 6.565 Å and the angles 90.00°, 90.00° and 90.00°. Symmetry generates all atoms from Ti at (0.000, 0.000, 0.000), Ni at (0.000, 0.000, 0.500) and Br at (0.250, 0.250, 0.250).

For the total magnetization, the calculation gives 2.0 μB per formula unit. The crystal system is cubic. The calculated volume is 17.68 A^3/atom.

=====

Version B
# TiNiBr2

A relaxed TiNiBr2 crystal (PBE, the Alexandria database).

The structure belongs to space group I-42d (No. 122); the cell edges are 5.584, 5.584 and 11.982 Å and the angles 90.00°, 90.00° and 90.00°. Symmetry generates all atoms from Ti at (0.000, 0.000, 0.000), Ni at (0.000, 0.000, 0.500) and Br at (0.221, 0.250, 0.625).

For the total magnetization, the calculation gives 2.0 μB per formula unit. The crystal system is tetragonal. The calculated volume is 23.35 A^3/atom.

=====

Most favorable structure: version B. The second most favorable one is 153 meV/atom above it.

=====

Version A
# TiNi3Br

A relaxed TiNi3Br crystal (PBE, the Alexandria database).

The structure belongs to space group Pm-3m (No. 221); the cell edges are 4.350, 4.350 and 4.350 Å and the angles 90.00°, 90.00° and 90.00°. Symmetry generates all atoms from Ti at (0.000, 0.000, 0.000), Ni at (0.000, 0.500, 0.500) and Br at (0.500, 0.500, 0.500).

For the total magnetization, the calculation gives 2.1 μB per formula unit. The crystal system is cubic. The calculated volume is 16.46 A^3/atom.

=====

Version B
# TiNi3Br

A relaxed TiNi3Br crystal (PBE, the Alexandria database).

The structure belongs to space group Pm-3m (No. 221); the cell edges are 4.488, 4.488 and 4.488 Å and the angles 90.00°, 90.00° and 90.00°. Symmetry generates all atoms from Ti at (0.000, 0.000, 0.000), Ni at (0.000, 0.000, 0.500) and Br at (0.500, 0.500, 0.500).

For the total magnetization, the calculation gives 0.0 μB per formula unit. The crystal system is cubic. The calculated volume is 18.08 A^3/atom.

=====

Most favorable structure: version A. The second most favorable one is 192 meV/atom above it.

=====

Version A
# TiNi2Br2

A relaxed TiNi2Br2 crystal (PBE, the Alexandria database).

The structure belongs to space group P4/mbm (No. 127); the cell edges are 6.551, 6.551 and 4.365 Å and the angles 90.00°, 90.00° and 90.00°. Symmetry generates all atoms from Ti at (0.000, 0.000, 0.000), Ni at (0.134, 0.366, 0.000) and Br at (0.214, 0.286, 0.500).

For the total magnetization, the calculation gives 0.0 μB per formula unit. The crystal system is tetragonal. The calculated volume is 18.74 A^3/atom.

=====

Version B
# TiNi2Br2

A relaxed TiNi2Br2 crystal (PBE, the Alexandria database).

The structure belongs to space group I4/mmm (No. 139); the cell edges are 4.983, 4.983 and 7.195 Å and the angles 90.00°, 90.00° and 90.00°. Symmetry generates all atoms from Ti at (0.000, 0.000, 0.000), Ni at (0.000, 0.000, 0.327) and Br at (0.000, 0.500, 0.250).

For the total magnetization, the calculation gives 0.0 μB per formula unit. The crystal system is tetragonal. The calculated volume is 17.86 A^3/atom.

=====

Most favorable structure: version A. The second most favorable one is 184 meV/atom above it.

=====

Version A
# Ti2NiBr

A relaxed Ti2NiBr crystal (PBE, the Alexandria database).

The structure belongs to space group I-42d (No. 122); the cell edges are 5.621, 5.621 and 11.146 Å and the angles 90.00°, 90.00° and 90.00°. Symmetry generates all atoms from Ti at (0.199, 0.250, 0.125), Ni at (0.000, 0.000, 0.000) and Br at (0.000, 0.000, 0.500).

For the total magnetization, the calculation gives 0.0 μB per formula unit. The crystal system is tetragonal. The calculated volume is 22.01 A^3/atom.

=====

Version B
# Ti2NiBr

A relaxed Ti2NiBr crystal (PBE, the Alexandria database).

The structure belongs to space group Fm-3m (No. 225); the cell edges are 6.285, 6.285 and 6.285 Å and the angles 90.00°, 90.00° and 90.00°. Symmetry generates all atoms from Ti at (0.250, 0.250, 0.250), Ni at (0.000, 0.000, 0.000) and Br at (0.000, 0.000, 0.500).

For the total magnetization, the calculation gives 0.0 μB per formula unit. The crystal system is cubic. The calculated volume is 15.51 A^3/atom.

=====

Most favorable structure: version B. The second most favorable one is 160 meV/atom above it.

=====

Version A
# Tl2NiBr8

A relaxed Tl2NiBr8 crystal (PBE, the Alexandria database).

The structure belongs to space group C2/m (No. 12); the cell edges are 12.551, 10.466 and 7.457 Å and the angles 90.00°, 91.31° and 90.00°. Symmetry generates all atoms from Tl at (0.227, 0.000, 0.174), Ni at (0.000, 0.000, 0.500), Br at (0.079, 0.500, 0.712), Br at (0.103, 0.163, 0.375) and Br at (0.166, 0.000, 0.843).

For the total magnetization, the calculation gives 0.1 μB per formula unit. The crystal system is monoclinic. The calculated volume is 44.51 A^3/atom.

=====

Version B
# Tl2NiBr8

A relaxed Tl2NiBr8 crystal (PBE, the Alexandria database).

The structure belongs to space group P-1 (No. 2); the cell edges are 3.824, 9.282 and 11.019 Å and the angles 86.38°, 89.89° and 78.43°. Symmetry generates all atoms from Tl at (0.160, 0.190, 0.183), Ni at (0.000, 0.500, 0.500), Br at (0.020, 0.455, 0.272), Br at (0.249, 0.994, 0.702), Br at (0.359, 0.773, 0.004) and Br at (0.415, 0.678, 0.454).

For the total magnetization, the calculation gives 1.8 μB per formula unit. The crystal system is triclinic. The calculated volume is 34.76 A^3/atom.

=====

Most favorable structure: version A. The second most favorable one is 26 meV/atom above it.